Crystalline Pm2Dy2Mg at its relaxed geometry, computed with PBE.

Values from the calculation:
The total magnetic moment comes out at 0.00 μB per formula unit. Its volume is 31.040 Å³/atom. As for the formation energy: 0.009 eV/atom. As for the symmetry: Immm.

```
Pm2Dy2Mg
1.0
-1.781 2.450 8.891
1.781 -2.450 8.891
1.781 2.450 -8.891
Pm Dy Mg
2 2 1
Direct
0.096 0.096 0.000
0.904 0.904 0.000
0.297 0.297 0.000
0.703 0.703 0.000
0.500 0.500 0.000
```

***

Crystalline PmDy6Mg at its relaxed geometry, computed with PBE.

Values from the calculation:
The total magnetic moment comes out at 0.00 μB per formula unit. Its volume is 30.836 Å³/atom. As for the formation energy: 0.028 eV/atom. As for the symmetry: C2/m.

```
PmDy6Mg
1.0
5.565 -2.502 0.000
5.565 2.502 0.000
-4.388 0.000 8.859
Pm Dy Mg
1 6 1
Direct
0.000 0.000 0.000
0.245 0.245 0.377
0.249 0.249 0.871
0.498 0.498 0.251
0.502 0.502 0.749
0.751 0.751 0.129
0.755 0.755 0.623
0.000 0.000 0.500
```

***

Crystalline Pm2Dy7Mg2 at its relaxed geometry, computed with PBE.

Values from the calculation:
The total magnetic moment comes out at 0.00 μB per formula unit. Its volume is 31.519 Å³/atom. As for the formation energy: 0.142 eV/atom. As for the symmetry: C2/m.

```
Pm2Dy7Mg2
1.0
4.677 -4.697 0.000
4.677 4.697 0.000
-2.009 0.000 7.890
Pm Dy Mg
2 7 2
Direct
0.180 0.820 0.000
0.820 0.180 0.000
0.000 0.000 0.500
0.111 0.519 0.325
0.307 0.307 0.970
0.481 0.889 0.675
0.519 0.111 0.325
0.693 0.693 0.030
0.889 0.481 0.675
0.404 0.404 0.648
0.596 0.596 0.352
```

***

Crystalline PmDy3Mg2 at its relaxed geometry, computed with PBE.

Values from the calculation:
The total magnetic moment comes out at 0.00 μB per formula unit. Its volume is 29.182 Å³/atom. As for the formation energy: -0.043 eV/atom. As for the symmetry: P4/mmm.

```
PmDy3Mg2
1.0
3.679 0.000 0.000
0.000 3.679 0.000
0.000 0.000 12.938
Pm Dy Mg
1 3 2
Direct
0.000 0.000 0.000
0.500 0.500 0.193
0.500 0.500 0.500
0.500 0.500 0.807
0.000 0.000 0.348
0.000 0.000 0.652
```

***

Crystalline Pm4Dy7Mg at its relaxed geometry, computed with PBE.

Values from the calculation:
The total magnetic moment comes out at 0.00 μB per formula unit. Its volume is 31.906 Å³/atom. As for the formation energy: 0.096 eV/atom. As for the symmetry: P-3m1.

```
Pm4Dy7Mg
1.0
5.630 0.000 0.000
-2.815 4.876 0.000
0.000 0.000 13.949
Pm Dy Mg
4 7 1
Direct
0.333 0.667 0.184
0.333 0.667 0.429
0.667 0.333 0.571
0.667 0.333 0.816
0.000 0.000 0.233
0.000 0.000 0.500
0.000 0.000 0.767
0.333 0.667 0.677
0.333 0.667 0.925
0.667 0.333 0.075
0.667 0.333 0.323
0.000 0.000 0.000
```

***

Crystalline Pm8DyMg6 at its relaxed geometry, computed with PBE.

Values from the calculation:
The total magnetic moment comes out at 0.00 μB per formula unit. Its volume is 32.539 Å³/atom. As for the formation energy: 0.159 eV/atom. As for the symmetry: R-3.

```
Pm8DyMg6
1.0
4.621 2.668 6.599
-4.621 2.668 6.599
0.000 -5.336 6.599
Pm Dy Mg
8 1 6
Direct
0.051 0.713 0.382
0.167 0.167 0.167
0.287 0.618 0.949
0.382 0.051 0.713
0.618 0.949 0.287
0.713 0.382 0.051
0.833 0.833 0.833
0.949 0.287 0.618
0.500 0.500 0.500
0.121 0.454 0.785
0.215 0.879 0.546
0.454 0.785 0.121
0.546 0.215 0.879
0.785 0.121 0.454
0.879 0.546 0.215
```

***

Which of these has the lowest formation energy? PmDy3Mg2